The following is a PBE calculation of KMg2Mo after structural relaxation, from the Alexandria database.

abc: 3.837 4.459 11.021
angles: 90.00 90.00 90.00
Fractional coordinates of all 8 atoms:
K 0.000 0.000 0.000
K 0.500 0.500 0.000
Mg 0.000 0.500 0.305
Mg 0.000 0.500 0.695
Mg 0.500 0.000 0.305
Mg 0.500 0.000 0.695
Mo 0.000 0.000 0.500
Mo 0.500 0.500 0.500

Values from the calculation:
**Total magnetic moment**: 0.05 μB per atom
**Offset from the most stable computed form**: 0 meV/atom

=====

The following is a PBE calculation of ScPa2Mo after structural relaxation, from the Alexandria database.

abc: 3.377 3.377 8.158
angles: 90.00 90.00 90.00
Fractional coordinates of all 4 atoms:
Sc 0.000 0.000 0.000
Pa 0.500 0.500 0.285
Pa 0.500 0.500 0.715
Mo 0.000 0.000 0.500

Values from the calculation:
**Total magnetic moment**: 0.00 μB per atom
**Offset from the most stable computed form**: 0 meV/atom

=====

> Which value of offset from the most stable computed form does entry 1 give?

0 meV/atom